{
  "formula": "Pr4HgSe2Br",
  "functional": "GGA-PBE",
  "state": "optimized geometry",
  "magmom_total_mub_per_fu": 0.0,
  "n_ef_per_ev_fu": 4.79,
  "density_g_cm3": 7.19,
  "e_form_raw_mev_per_atom": -1332,
  "space_group": "P2/m (10)",
  "cell": [[7.5244, 0.0000, 0.0000], [0.0000, 4.2385, 0.0000], [-2.3494, 0.0000, 7.2598]],
  "species": ["Pr", "Pr", "Pr", "Pr", "Hg", "Se", "Se", "Br"],
  "frac_coords": [[0.2344, 0.0000, 0.2282], [0.2541, 0.5000, 0.7636], [0.7459, 0.5000, 0.2364], [0.7656, 0.0000, 0.7718], [0.0000, 0.0000, 0.5000], [0.0000, 0.5000, 0.0000], [0.5000, 0.0000, 0.0000], [0.5000, 0.5000, 0.5000]]
}